1.
## PmGdNp (PBE-GGA)

Data for a geometry-optimized PmGdNp structure.

The calculation puts the theoretical density at 9.321 Mg/m³. The calculation puts the calculated volume at 96.1 Å³/f.u. The calculation puts the formation energy at 1.167 eV/atom. Its final energy is -6.223 eV/atom. As for the space group: F-43m, No. 216.

abc: 5.141 5.141 5.141
angles: 60.00 60.00 60.00
Sites, in units of the cell vectors:
Pm: 0.000 0.000 0.000
Gd: 0.750 0.750 0.750
Np: 0.250 0.250 0.250

=====

2.
## AcSmNO (PBE-GGA)

Data for a geometry-optimized AcSmNO structure.

The calculation puts the theoretical density at 8.830 Mg/m³. The calculation puts the calculated volume at 76.6 Å³/f.u. Its final energy is -7.380 eV/atom. As for the space group: P4/nmm, No. 129.

abc: 5.002 5.002 6.122
angles: 90.00 90.00 90.00
Sites, in units of the cell vectors:
Ac: 0.250 0.750 0.000
Ac: 0.750 0.250 0.000
Sm: 0.250 0.250 0.473
Sm: 0.750 0.750 0.527
N: 0.250 0.250 0.115
N: 0.750 0.750 0.885
O: 0.250 0.750 0.500
O: 0.750 0.250 0.500

=====

3.
## CsSmScS3 (PBE-GGA)

Data for a geometry-optimized CsSmScS3 structure.

The calculation puts the theoretical density at 3.826 Mg/m³. The calculation puts the calculated volume at 184.2 Å³/f.u. Its final energy is -5.778 eV/atom. As for the space group: Cmcm, No. 63.

abc: 8.128 8.128 10.963
angles: 90.00 90.00 149.43
Sites, in units of the cell vectors:
Cs: 0.237 0.763 0.750
Cs: 0.763 0.237 0.250
Sm: 0.500 0.500 0.000
Sm: 0.500 0.500 0.500
Sc: 0.033 0.967 0.250
Sc: 0.967 0.033 0.750
S: 0.114 0.886 0.061
S: 0.114 0.886 0.439
S: 0.451 0.549 0.250
S: 0.549 0.451 0.750
S: 0.886 0.114 0.561
S: 0.886 0.114 0.939

=====

4.
## NaTbHgTe3 (PBE-GGA)

Data for a geometry-optimized NaTbHgTe3 structure.

The calculation puts the theoretical density at 6.462 Mg/m³. The calculation puts the calculated volume at 196.7 Å³/f.u. Its final energy is -3.475 eV/atom. As for the space group: Pnma, No. 62.

abc: 14.825 4.423 11.998
angles: 90.00 90.00 90.00
Sites, in units of the cell vectors:
Na: 0.229 0.250 0.076
Na: 0.271 0.750 0.576
Na: 0.729 0.250 0.424
Na: 0.771 0.750 0.924
Tb: 0.014 0.250 0.343
Tb: 0.486 0.750 0.843
Tb: 0.514 0.250 0.157
Tb: 0.986 0.750 0.657
Hg: 0.010 0.750 0.103
Hg: 0.490 0.250 0.603
Hg: 0.510 0.750 0.397
Hg: 0.990 0.250 0.897
Te: 0.112 0.250 0.568
Te: 0.115 0.750 0.879
Te: 0.149 0.750 0.262
Te: 0.351 0.250 0.762
Te: 0.385 0.250 0.379
Te: 0.388 0.750 0.068
Te: 0.612 0.250 0.932
Te: 0.615 0.750 0.621
Te: 0.649 0.750 0.238
Te: 0.851 0.250 0.738
Te: 0.885 0.250 0.121
Te: 0.888 0.750 0.432

=====

5.
## LaMgGa2Cu (PBE-GGA)

Data for a geometry-optimized LaMgGa2Cu structure.

The calculation puts the theoretical density at 5.921 Mg/m³. The calculation puts the calculated volume at 102.7 Å³/f.u. Its final energy is -3.669 eV/atom. As for the space group: I-4m2, No. 119.

abc: 6.272 6.272 6.272
angles: 139.59 139.59 58.47
Sites, in units of the cell vectors:
La: 0.000 0.000 0.000
Mg: 0.250 0.750 0.500
Ga: 0.386 0.386 0.000
Ga: 0.614 0.614 0.000
Cu: 0.750 0.250 0.500

=====

6.
## PrPuPb (PBE-GGA)

Data for a geometry-optimized PrPuPb structure.

The calculation puts the theoretical density at 8.988 Mg/m³. The calculation puts the calculated volume at 109.4 Å³/f.u. Its final energy is -7.574 eV/atom. As for the space group: F-43m, No. 216.

abc: 5.368 5.368 5.368
angles: 60.00 60.00 60.00
Sites, in units of the cell vectors:
Pr: 0.000 0.000 0.000
Pu: 0.500 0.500 0.500
Pb: 0.250 0.250 0.250